A plane-wave DFT calculation with PBE was carried out for a geometry-optimized TaNiBr2 structure.

N(E_F) = 2.009 states/eV/f.u.
excess energy over the best structure of this formula in the dataset = 0.984 eV per atom
SG = I-42d, No. 122
energy relative to the elements, uncorrected = 70.7 kJ per mole of atoms

Unit cell a=6.021 b=6.021 c=6.459 alpha=62.22 beta=62.22 gamma=90.00
Each line ends with the local moment (μB).
Fractional coordinates of all 8 atoms:
1 Br 0.157 0.625 0.250  0.02
2 Br 0.593 0.125 0.250  0.01
3 Br 0.875 0.843 0.750  0.02
4 Br 0.375 0.407 0.750  0.01
5 Ni 0.500 0.500 0.000  0.08
6 Ni 0.250 0.750 0.500  0.08
7 Ta 0.750 0.250 0.500  0.46
8 Ta 0.000 0.000 0.000  0.46